Compound: PaMn2PO8
Source: Alexandria via LeMat-Bulk
Functional: PBE with a Hubbard U
Structure: optimized geometry

Structure (POSCAR):
```
PaMn2PO8
1.0
4.948 0.000 0.000
-2.474 4.285 0.000
0.000 0.000 5.876
O Mn Pa P
8 2 1 1
direct
0.317 0.158 0.829
0.158 0.317 0.171
0.842 0.683 0.829
0.683 0.842 0.171
0.333 0.667 0.566
0.667 0.333 0.434
0.842 0.158 0.829
0.158 0.842 0.171
0.333 0.667 0.874
0.667 0.333 0.126
0.000 0.000 0.500
0.000 0.000 0.000
```

**Energy**: -7.580 eV/atom
**Spin magnetization**: 8.00 μB per cell